1.
Below is crystalline K5SnTe4 at its relaxed geometry, with properties calculated at the PBE level.

Formation energy (no corrections) = -0.75 eV per atom
Spin magnetization = 0.0000 μB per atom
DOS(E_F) = 1.40 states/eV/f.u.

```
data_K5SnTe4
_chemical_formula_sum 'K10 Sn2 Te8'
_symmetry_space_group_name_H-M 'C 1 2/m 1'
_symmetry_Int_Tables_number 12
_symmetry_space_group_name_Hall '-C 2y'
_cell_length_a 18.193
_cell_length_b 5.910
_cell_length_c 7.532
_cell_angle_alpha 90.00
_cell_angle_beta 94.83
_cell_angle_gamma 90.00
loop_
_atom_site_label
_atom_site_type_symbol
_atom_site_fract_x
_atom_site_fract_y
_atom_site_fract_z
K1 K 0.000 0.000 0.000
K2 K 0.162 0.500 0.996
K3 K 0.177 0.500 0.514
Sn1 Sn 0.000 0.000 0.500
Te1 Te 0.010 0.500 0.279
Te2 Te 0.166 0.000 0.740
```

***

2.
Below is crystalline KLi2CaRh at its relaxed geometry, with properties calculated at the PBE level.

ΔE_f = 0.0735 eV/atom
Spin magnetization = 0.0000 μB per atom
DOS(E_F) = 2.57 states/eV/f.u.

```
data_KLi2CaRh
_chemical_formula_sum 'K1 Li2 Ca1 Rh1'
_symmetry_space_group_name_H-M 'P 4/m m m'
_symmetry_Int_Tables_number 123
_symmetry_space_group_name_Hall '-P 4 2'
_cell_length_a 5.242
_cell_length_b 5.242
_cell_length_c 5.254
_cell_angle_alpha 90.00
_cell_angle_beta 90.00
_cell_angle_gamma 90.00
loop_
_atom_site_label
_atom_site_type_symbol
_atom_site_fract_x
_atom_site_fract_y
_atom_site_fract_z
K1 K 0.000 0.000 0.000
Li1 Li 0.000 0.500 0.500
Ca1 Ca 0.500 0.500 0.000
Rh1 Rh 0.500 0.500 0.500
```